# 1
Here is a crystal of SnPH5NO4F relaxed with PBEsol from Alexandria via LeMat-Bulk. Energies are from SCAN.

Summary:
**Fermi-level density of states**: 0.000 states/eV/f.u.
**Density**: 3134 kg/m³
**Final energy**: -9.26 eV/atom
**SG**: Pnma (62)
**V**: 10.3 Å³ per atom

Unit cell a=5.273 b=6.610 c=15.307 alpha=90.00 beta=90.00 gamma=90.00
Fractional coordinates of all 52 atoms:
Sn  0.750  0.834  0.197
Sn  0.750  0.334  0.303
Sn  0.250  0.166  0.803
Sn  0.250  0.666  0.697
P  0.250  0.121  0.164
P  0.250  0.621  0.336
P  0.750  0.879  0.836
P  0.750  0.379  0.664
H  0.250  0.458  0.176
H  0.250  0.958  0.324
H  0.750  0.542  0.824
H  0.750  0.042  0.676
H  0.750  0.432  0.037
H  0.750  0.932  0.463
H  0.250  0.568  0.963
H  0.250  0.068  0.537
H  0.750  0.177  0.052
H  0.750  0.677  0.448
H  0.250  0.823  0.948
H  0.250  0.323  0.552
H  0.588  0.278  0.967
H  0.912  0.778  0.533
H  0.088  0.722  0.033
H  0.412  0.222  0.467
H  0.412  0.722  0.033
H  0.088  0.222  0.467
H  0.912  0.278  0.967
H  0.588  0.778  0.533
N  0.750  0.292  0.005
N  0.750  0.792  0.495
N  0.250  0.708  0.995
N  0.250  0.208  0.505
O  0.250  0.343  0.128
O  0.250  0.843  0.372
O  0.750  0.657  0.872
O  0.750  0.157  0.628
O  0.487  0.015  0.126
O  0.013  0.515  0.374
O  0.987  0.985  0.874
O  0.513  0.485  0.626
O  0.513  0.985  0.874
O  0.987  0.485  0.626
O  0.013  0.015  0.126
O  0.487  0.515  0.374
O  0.250  0.128  0.265
O  0.250  0.628  0.235
O  0.750  0.872  0.735
O  0.750  0.372  0.765
F  0.750  0.662  0.083
F  0.750  0.162  0.417
F  0.250  0.338  0.917
F  0.250  0.838  0.583

---

# 2
Here is a crystal of Zr2H16SN3O6F9 relaxed with PBEsol from Alexandria via LeMat-Bulk. Energies are from SCAN.

Summary:
**Fermi-level density of states**: 0.000 states/eV/f.u.
**Density**: 2744 kg/m³
**Final energy**: -7.84 eV/atom
**SG**: C2/m (12)
**V**: 8.8 Å³ per atom

Unit cell a=7.899 b=7.899 c=11.803 alpha=103.45 beta=108.08 gamma=100.88
Fractional coordinates of all 74 atoms:
Zr  0.857  0.117  0.614
Zr  0.497  0.756  0.614
Zr  0.143  0.883  0.386
Zr  0.503  0.244  0.386
H  0.130  0.636  0.152
H  0.515  0.021  0.152
H  0.870  0.364  0.848
H  0.485  0.979  0.848
H  0.942  0.563  0.181
H  0.618  0.239  0.181
H  0.058  0.437  0.819
H  0.382  0.761  0.819
H  0.199  0.202  0.920
H  0.718  0.721  0.920
H  0.801  0.798  0.080
H  0.282  0.279  0.080
H  0.195  0.053  0.002
H  0.949  0.807  0.002
H  0.805  0.947  0.998
H  0.051  0.193  0.998
H  0.344  0.163  0.673
H  0.510  0.328  0.673
H  0.656  0.837  0.327
H  0.490  0.672  0.327
H  0.313  0.372  0.684
H  0.687  0.628  0.316
H  0.472  0.334  0.806
H  0.528  0.666  0.194
H  0.066  0.597  0.663
H  0.934  0.403  0.337
H  0.035  0.809  0.677
H  0.868  0.642  0.677
H  0.965  0.191  0.323
H  0.132  0.358  0.323
H  0.911  0.634  0.545
H  0.089  0.366  0.455
S  0.288  0.712  0.000
S  0.712  0.288  0.000
N  0.817  0.817  0.000
N  0.183  0.183  0.000
N  0.409  0.301  0.710
N  0.591  0.699  0.290
N  0.028  0.330  0.358
N  0.972  0.670  0.642
O  0.484  0.824  0.066
O  0.243  0.582  0.066
O  0.516  0.176  0.934
O  0.757  0.418  0.934
O  0.838  0.170  0.008
O  0.162  0.830  0.992
O  0.738  0.393  0.131
O  0.262  0.607  0.869
O  0.056  0.666  0.207
O  0.541  0.151  0.207
O  0.944  0.334  0.793
O  0.459  0.849  0.793
F  0.333  0.966  0.298
F  0.667  0.034  0.702
F  0.291  0.169  0.460
F  0.709  0.831  0.540
F  0.951  0.960  0.269
F  0.309  0.318  0.269
F  0.049  0.040  0.731
F  0.691  0.682  0.731
F  0.309  0.928  0.581
F  0.653  0.273  0.581
F  0.691  0.072  0.419
F  0.347  0.727  0.419
F  0.972  0.674  0.397
F  0.723  0.424  0.397
F  0.028  0.326  0.603
F  0.277  0.576  0.603
F  0.000  0.000  0.500
F  0.500  0.500  0.500

---

# 3
Here is a crystal of VH10N2O2F4 relaxed with PBEsol from Alexandria via LeMat-Bulk. Energies are from SCAN.

Summary:
**Fermi-level density of states**: 0.000 states/eV/f.u.
**Density**: 2018 kg/m³
**Final energy**: -6.53 eV/atom
**SG**: P2_1/c (14)
**V**: 8.5 Å³ per atom

Unit cell a=6.930 b=9.778 c=9.700 alpha=90.00 beta=99.39 gamma=90.00
Fractional coordinates of all 76 atoms:
V  0.779  0.043  0.740
V  0.779  0.457  0.240
V  0.221  0.543  0.760
V  0.221  0.957  0.260
H  0.131  0.593  0.203
H  0.636  0.855  0.947
H  0.131  0.907  0.703
H  0.636  0.645  0.447
H  0.793  0.465  0.946
H  0.327  0.214  0.447
H  0.626  0.404  0.808
H  0.793  0.035  0.446
H  0.207  0.535  0.054
H  0.869  0.407  0.797
H  0.364  0.355  0.553
H  0.074  0.883  0.934
H  0.869  0.093  0.297
H  0.497  0.338  0.424
H  0.374  0.904  0.692
H  0.218  0.705  0.095
H  0.673  0.714  0.053
H  0.782  0.205  0.405
H  0.751  0.865  0.119
H  0.626  0.096  0.308
H  0.926  0.117  0.066
H  0.207  0.965  0.554
H  0.965  0.779  0.816
H  0.327  0.286  0.947
H  0.503  0.838  0.076
H  0.249  0.365  0.381
H  0.503  0.662  0.576
H  0.673  0.786  0.553
H  0.374  0.596  0.192
H  0.926  0.383  0.566
H  0.751  0.635  0.619
H  0.218  0.795  0.595
H  0.782  0.295  0.905
H  0.249  0.135  0.881
H  0.035  0.221  0.184
H  0.074  0.617  0.434
H  0.035  0.279  0.684
H  0.965  0.721  0.316
H  0.364  0.145  0.053
H  0.497  0.162  0.924
N  0.768  0.106  0.365
N  0.360  0.181  0.951
N  0.360  0.319  0.451
N  0.640  0.681  0.549
N  0.232  0.606  0.135
N  0.232  0.894  0.635
N  0.768  0.394  0.865
N  0.640  0.819  0.049
O  0.021  0.378  0.655
O  0.353  0.659  0.846
O  0.979  0.622  0.345
O  0.353  0.841  0.346
O  0.979  0.878  0.845
O  0.647  0.159  0.654
O  0.647  0.341  0.154
O  0.021  0.122  0.155
F  0.589  0.913  0.782
F  0.411  0.087  0.218
F  0.964  0.872  0.253
F  0.814  0.930  0.583
F  0.229  0.886  0.071
F  0.771  0.114  0.929
F  0.814  0.570  0.083
F  0.186  0.070  0.417
F  0.229  0.614  0.571
F  0.036  0.372  0.247
F  0.036  0.128  0.747
F  0.411  0.413  0.718
F  0.771  0.386  0.429
F  0.964  0.628  0.753
F  0.186  0.430  0.917
F  0.589  0.587  0.282

---

# 4
Here is a crystal of ReHNF2 relaxed with PBEsol from Alexandria via LeMat-Bulk. Energies are from SCAN.

Summary:
**Fermi-level density of states**: 1.222 states/eV/f.u.
**Density**: 6545 kg/m³
**Final energy**: -18.53 eV/atom
**SG**: P4/mmm (123)
**V**: 12.1 Å³ per atom

Unit cell a=3.749 b=4.024 c=4.024 alpha=90.00 beta=90.00 gamma=90.00
Fractional coordinates of all 5 atoms:
Re  0.000  0.000  0.000
N  0.500  0.000  0.000
H  0.500  0.500  0.500
F  0.000  0.000  0.500
F  0.000  0.500  0.000

---

# 5
Here is a crystal of ScHNF2 relaxed with PBEsol from Alexandria via LeMat-Bulk. Energies are from SCAN.

Summary:
**Fermi-level density of states**: 0.336 states/eV/f.u.
**Density**: 3960 kg/m³
**Final energy**: -8.10 eV/atom
**SG**: P4/mmm (123)
**V**: 8.2 Å³ per atom

Unit cell a=3.210 b=3.210 c=3.987 alpha=90.00 beta=90.00 gamma=90.00
Fractional coordinates of all 5 atoms:
Sc  0.500  0.500  0.500
H  0.000  0.000  0.000
N  0.000  0.000  0.500
F  0.000  0.500  0.000
F  0.500  0.000  0.000

---

# 6
Here is a crystal of SiH12N4F4 relaxed with PBEsol from Alexandria via LeMat-Bulk. Energies are from SCAN.

Summary:
**Fermi-level density of states**: 0.000 states/eV/f.u.
**Density**: 1626 kg/m³
**Final energy**: -6.04 eV/atom
**SG**: Cmce (64)
**V**: 8.4 Å³ per atom

Unit cell a=5.307 b=5.307 c=12.646 alpha=90.00 beta=90.00 gamma=99.08
Fractional coordinates of all 42 atoms:
F  0.412  0.236  0.578
F  0.088  0.264  0.078
F  0.264  0.088  0.922
F  0.236  0.412  0.422
F  0.588  0.764  0.422
F  0.912  0.736  0.922
F  0.736  0.912  0.078
F  0.764  0.588  0.578
H  0.640  0.120  0.423
H  0.860  0.380  0.923
H  0.380  0.860  0.077
H  0.120  0.640  0.577
H  0.360  0.880  0.577
H  0.140  0.620  0.077
H  0.620  0.140  0.923
H  0.880  0.360  0.423
H  0.650  0.350  0.328
H  0.850  0.150  0.828
H  0.150  0.850  0.172
H  0.350  0.650  0.672
H  0.719  0.281  0.157
H  0.781  0.219  0.657
H  0.219  0.781  0.343
H  0.281  0.719  0.843
H  0.663  0.576  0.169
H  0.837  0.924  0.669
H  0.924  0.837  0.331
H  0.576  0.663  0.831
H  0.337  0.424  0.831
H  0.163  0.076  0.331
H  0.076  0.163  0.669
H  0.424  0.337  0.169
N  0.686  0.314  0.411
N  0.814  0.186  0.911
N  0.186  0.814  0.089
N  0.314  0.686  0.589
N  0.608  0.392  0.196
N  0.892  0.108  0.696
N  0.108  0.892  0.304
N  0.392  0.608  0.804
Si  0.500  0.500  0.500
Si  0.000  0.000  0.000